1.
# TaBiI (PBE, optimized geometry)
data_TaBiI
_chemical_formula_sum 'Ta2 Bi2 I2'
_cell_length_a 3.591
_cell_length_b 5.750
_cell_length_c 10.226
_cell_angle_alpha 79.42
_cell_angle_beta 80.34
_cell_angle_gamma 71.83
_symmetry_space_group_name_H-M 'P 1'
_symmetry_Int_Tables_number 1
_symmetry_space_group_name_Hall 'P 1'
loop_
_atom_site_label
_atom_site_fract_x
_atom_site_fract_y
_atom_site_fract_z
Ta1 0.000 0.000 0.000
Ta2 0.407 0.331 0.851
Bi1 0.694 0.821 0.784
Bi2 0.708 0.516 0.072
I1 0.024 0.322 0.613
I2 0.884 0.965 0.280
# Energy relative to the elements, uncorrected, eV per atom: 0.09
# Total DFT energy (no corrections), eV per atom: -5.676
# Fermi-level density of states, states/eV/f.u.: 0.88
# ΔE to the lowest computed polymorph, eV/atom: 0.063

***

2.
# TaBi2I (PBE, optimized geometry)
data_TaBi2I
_chemical_formula_sum 'Ta2 Bi4 I2'
_cell_length_a 8.595
_cell_length_b 8.595
_cell_length_c 8.595
_cell_angle_alpha 131.49
_cell_angle_beta 131.49
_cell_angle_gamma 71.04
_symmetry_space_group_name_H-M 'P 1'
_symmetry_Int_Tables_number 1
_symmetry_space_group_name_Hall 'P 1'
loop_
_atom_site_label
_atom_site_fract_x
_atom_site_fract_y
_atom_site_fract_z
Ta1 0.000 0.000 0.000
Ta2 0.750 0.250 0.500
Bi1 0.032 0.625 0.907
Bi2 0.375 0.282 0.407
Bi3 0.718 0.125 0.093
Bi4 0.875 0.968 0.593
I1 0.250 0.750 0.500
I2 0.500 0.500 0.000
# Energy relative to the elements, uncorrected, eV per atom: 0.78
# Total DFT energy (no corrections), eV per atom: -4.515
# Fermi-level density of states, states/eV/f.u.: 1.43
# ΔE to the lowest computed polymorph, eV/atom: 0.000

***

3.
# TaTc2BiI (PBE, optimized geometry)
data_TaTc2BiI
_chemical_formula_sum 'Ta1 Tc2 Bi1 I1'
_cell_length_a 4.861
_cell_length_b 4.861
_cell_length_c 5.086
_cell_angle_alpha 90.00
_cell_angle_beta 90.00
_cell_angle_gamma 90.00
_symmetry_space_group_name_H-M 'P 1'
_symmetry_Int_Tables_number 1
_symmetry_space_group_name_Hall 'P 1'
loop_
_atom_site_label
_atom_site_fract_x
_atom_site_fract_y
_atom_site_fract_z
Ta1 0.000 0.000 0.000
Tc1 0.000 0.500 0.500
Tc2 0.500 0.000 0.500
Bi1 0.500 0.500 0.000
I1 0.000 0.000 0.500
# Energy relative to the elements, uncorrected, eV per atom: 1.81
# Total DFT energy (no corrections), eV per atom: -5.795
# Fermi-level density of states, states/eV/f.u.: 3.86
# ΔE to the lowest computed polymorph, eV/atom: 0.000

***

4.
# TaTiBi2I (PBE, optimized geometry)
data_TaTiBi2I
_chemical_formula_sum 'Ta1 Ti1 Bi2 I1'
_cell_length_a 5.429
_cell_length_b 5.429
_cell_length_c 4.962
_cell_angle_alpha 90.00
_cell_angle_beta 90.00
_cell_angle_gamma 90.00
_symmetry_space_group_name_H-M 'P 1'
_symmetry_Int_Tables_number 1
_symmetry_space_group_name_Hall 'P 1'
loop_
_atom_site_label
_atom_site_fract_x
_atom_site_fract_y
_atom_site_fract_z
Ta1 0.000 0.000 0.000
Ti1 0.000 0.000 0.500
Bi1 0.000 0.500 0.500
Bi2 0.500 0.000 0.500
I1 0.500 0.500 0.000
# Energy relative to the elements, uncorrected, eV per atom: 0.83
# Total DFT energy (no corrections), eV per atom: -4.985
# Fermi-level density of states, states/eV/f.u.: 6.16

***

5.
# TbBiI (PBE, optimized geometry)
data_TbBiI
_chemical_formula_sum 'Tb2 Bi2 I2'
_cell_length_a 7.349
_cell_length_b 3.879
_cell_length_c 7.839
_cell_angle_alpha 90.00
_cell_angle_beta 99.24
_cell_angle_gamma 90.00
_symmetry_space_group_name_H-M 'P 1'
_symmetry_Int_Tables_number 1
_symmetry_space_group_name_Hall 'P 1'
loop_
_atom_site_label
_atom_site_fract_x
_atom_site_fract_y
_atom_site_fract_z
Tb1 0.000 0.000 0.000
Tb2 0.000 0.500 0.500
Bi1 0.292 0.000 0.352
Bi2 0.708 0.000 0.648
I1 0.262 0.500 0.854
I2 0.738 0.500 0.146
# Energy relative to the elements, uncorrected, eV per atom: -0.70
# Total DFT energy (no corrections), eV per atom: -4.051
# Fermi-level density of states, states/eV/f.u.: 1.82
# ΔE to the lowest computed polymorph, eV/atom: 0.087

***

6.
# Tb6Bi5I (PBE, optimized geometry)
data_Tb6Bi5I
_chemical_formula_sum 'Tb6 Bi5 I1'
_cell_length_a 7.784
_cell_length_b 7.784
_cell_length_c 7.765
_cell_angle_alpha 99.54
_cell_angle_beta 99.54
_cell_angle_gamma 120.00
_symmetry_space_group_name_H-M 'P 1'
_symmetry_Int_Tables_number 1
_symmetry_space_group_name_Hall 'P 1'
loop_
_atom_site_label
_atom_site_fract_x
_atom_site_fract_y
_atom_site_fract_z
Tb1 0.063 0.412 0.740
Tb2 0.235 0.235 0.253
Tb3 0.412 0.063 0.740
Tb4 0.588 0.937 0.260
Tb5 0.765 0.765 0.747
Tb6 0.937 0.588 0.260
Bi1 0.000 0.000 0.500
Bi2 0.169 0.831 0.000
Bi3 0.340 0.660 0.500
Bi4 0.660 0.340 0.500
Bi5 0.831 0.169 0.000
I1 0.500 0.500 0.000
# Energy relative to the elements, uncorrected, eV per atom: -0.87
# Total DFT energy (no corrections), eV per atom: -4.934
# Fermi-level density of states, states/eV/f.u.: 2.81